# 1
Density functional theory data (PBE-GGA) for DyHfSc2 after structural relaxation.

Values from the calculation:
relative energy among the computed polymorphs	0	meV per atom
V	25.20	Å³/atom
E_tot	-53.915	eV for the cell shown
calculated density	7.10	g/cm³
magnetization	0.0	μB per formula unit
density of states at the Fermi level	13.3	states/eV/cell
energy relative to the elements	0.065	eV per atom

abc: 3.2627 6.5304 10.0054
angles: 71.00 90.00 90.00
Sites, in units of the cell vectors:
Dy  0.2817  0.2037  0.7279
Dy  0.2828  0.7037  0.7279
Hf  0.2820  0.9538  0.2278
Hf  0.2821  0.4538  0.2278
Sc  0.7820  0.8179  0.9990
Sc  0.7820  0.5896  0.4567
Sc  0.7822  0.3179  0.9990
Sc  0.7823  0.0896  0.4567


# 2
Density functional theory data (PBE-GGA) for DyHf2Sc after structural relaxation.

Values from the calculation:
relative energy among the computed polymorphs	0	meV per atom
V	24.46	Å³/atom
E_tot	-30.342	eV for the cell shown
calculated density	9.58	g/cm³
magnetization	0.0	μB per formula unit
density of states at the Fermi level	6.0	states/eV/cell
energy relative to the elements	0.125	eV per atom

abc: 3.2702 3.2702 10.7335
angles: 81.24 81.24 60.00
Sites, in units of the cell vectors:
Dy  0.5000  0.5000  0.4999
Hf  0.0811  0.0811  0.7567
Hf  0.2525  0.2525  0.2424
Sc  0.6663  0.6663  0.0010


# 3
Density functional theory data (PBE-GGA) for DyHfThSc after structural relaxation.

Values from the calculation:
V	27.05	Å³/atom
E_tot	-27.756	eV for the cell shown
calculated density	9.49	g/cm³
magnetization	0.0	μB per formula unit
density of states at the Fermi level	5.4	states/eV/cell
energy relative to the elements	0.138	eV per atom

abc: 5.3484 5.3484 5.3484
angles: 60.00 60.00 60.00
Sites, in units of the cell vectors:
Sc  0.0000  0.0000  0.0000
Hf  0.5000  0.5000  0.5000
Th  0.7500  0.7500  0.7500
Dy  0.2500  0.2500  0.2500


# 4
Density functional theory data (PBE-GGA) for Dy3HfSe6 after structural relaxation.

Values from the calculation:
V	26.26	Å³/atom
E_tot	-122.167	eV for the cell shown
calculated density	7.21	g/cm³
magnetization	0.0	μB per formula unit
density of states at the Fermi level	4.2	states/eV/cell
ΔE_f (raw)	-16.42	eV per formula unit

abc: 8.1653 8.1653 8.1653
angles: 98.34 98.34 98.34
Sites, in units of the cell vectors:
Dy  0.3713  0.8781  0.7056
Dy  0.8781  0.7056  0.3713
Dy  0.2944  0.6287  0.1219
Dy  0.7056  0.3713  0.8781
Dy  0.1219  0.2944  0.6287
Dy  0.6287  0.1219  0.2944
Hf  0.0000  0.0000  0.0000
Hf  0.5000  0.5000  0.5000
Se  0.3201  0.9673  0.0706
Se  0.0327  0.9294  0.6799
Se  0.5742  0.8141  0.4341
Se  0.9294  0.6799  0.0327
Se  0.4341  0.5742  0.8141
Se  0.1859  0.5659  0.4258
Se  0.8141  0.4341  0.5742
Se  0.5659  0.4258  0.1859
Se  0.0706  0.3201  0.9673
Se  0.4258  0.1859  0.5659
Se  0.9673  0.0706  0.3201
Se  0.6799  0.0327  0.9294


# 5
Density functional theory data (PBE-GGA) for DyHfSe2 after structural relaxation.

Values from the calculation:
relative energy among the computed polymorphs	0	meV per atom
V	21.67	Å³/atom
E_tot	-26.822	eV for the cell shown
calculated density	9.56	g/cm³
magnetization	0.0	μB per formula unit
density of states at the Fermi level	2.8	states/eV/cell
ΔE_f (raw)	-5.30	eV per formula unit

abc: 3.6659 3.6659 7.7441
angles: 76.31 76.31 60.00
Sites, in units of the cell vectors:
Dy  0.6661  0.6661  0.0017
Hf  0.4999  0.4999  0.5002
Se  0.0895  0.0895  0.7314
Se  0.2444  0.2444  0.2667


# 6
Density functional theory data (PBE-GGA) for DyHfSe2 after structural relaxation.

Values from the calculation:
relative energy among the computed polymorphs	315	meV per atom
V	26.77	Å³/atom
E_tot	-25.560	eV for the cell shown
calculated density	7.74	g/cm³
magnetization	0.0	μB per formula unit
density of states at the Fermi level	2.4	states/eV/cell
ΔE_f (raw)	-4.04	eV per formula unit

abc: 3.7150 3.7150 9.2114
angles: 78.37 78.37 60.00
Sites, in units of the cell vectors:
Hf  0.5000  0.5000  0.5000
Se  0.1060  0.1060  0.6820
Se  0.8940  0.8940  0.3180
Dy  0.0000  0.0000  0.0000


# 7
Density functional theory data (PBE-GGA) for DyHfSe3 after structural relaxation.

Values from the calculation:
V	24.05	Å³/atom
E_tot	-129.206	eV for the cell shown
calculated density	7.98	g/cm³
magnetization	0.0	μB per formula unit
density of states at the Fermi level	10.4	states/eV/cell
ΔE_f (raw)	-7.29	eV per formula unit

abc: 3.8937 9.0738 13.6124
angles: 90.00 90.00 90.00
Sites, in units of the cell vectors:
Dy  0.2500  0.9851  0.3407
Dy  0.7500  0.0149  0.6593
Dy  0.7500  0.5149  0.8407
Dy  0.2500  0.4851  0.1593
Hf  0.2500  0.6642  0.5393
Hf  0.7500  0.3358  0.4607
Hf  0.7500  0.8358  0.0393
Hf  0.2500  0.1642  0.9607
Se  0.7500  0.1998  0.2872
Se  0.2500  0.6568  0.9695
Se  0.2500  0.0022  0.1219
Se  0.2500  0.5022  0.3781
Se  0.2500  0.1568  0.5305
Se  0.7500  0.4978  0.6219
Se  0.2500  0.3002  0.7872
Se  0.7500  0.9978  0.8781
Se  0.7500  0.3432  0.0305
Se  0.7500  0.6998  0.2128
Se  0.7500  0.8432  0.4695
Se  0.2500  0.8002  0.7128


# 8
Density functional theory data (PBE-GGA) for DyHf2Se after structural relaxation.

Values from the calculation:
V	24.09	Å³/atom
E_tot	-28.202	eV for the cell shown
calculated density	10.31	g/cm³
magnetization	0.0	μB per formula unit
density of states at the Fermi level	5.3	states/eV/cell
ΔE_f (raw)	-0.21	eV per formula unit

abc: 3.3054 3.3054 10.3610
angles: 80.82 80.82 60.00
Sites, in units of the cell vectors:
Hf  0.1026  0.1026  0.6922
Hf  0.8974  0.8974  0.3078
Se  0.5000  0.5000  0.5000
Dy  0.0000  0.0000  0.0000


Q: What is the calculated density in the third record?
A: 9.49 g/cm³


Q: Number 4 is which compound?
A: Dy3HfSe6


Q: Look up the density of states at the Fermi level of the second one.
A: 6.0 states/eV/cell